# Ge2Pd9

Crystalline Ge2Pd9 at its relaxed geometry (PBE, OQMD).

Lattice parameters (Å, degrees): 2.8281 2.8281 37.1263 90.00 90.00 120.00
Last column: nearest neighbours and their distance in Å.
Sites, in units of the cell vectors:
Ge  0.3333  0.6667  0.3012  3 Pd 2.64, 6 Ge 2.83
Ge  0.6667  0.3333  0.6988  3 Pd 2.64, 6 Ge 2.83
Pd  0.0000  0.0000  0.0000  12 Pd 2.78-2.83
Pd  0.0000  0.0000  0.1827  12 Pd 2.81-2.84
Pd  0.0000  0.0000  0.8173  12 Pd 2.81-2.84
Pd  0.3333  0.6667  0.1212  12 Pd 2.78-2.83
Pd  0.3333  0.6667  0.7548  3 Ge 2.64, 9 Pd 2.83-2.84
Pd  0.3333  0.6667  0.9395  12 Pd 2.78-2.83
Pd  0.6667  0.3333  0.0605  12 Pd 2.78-2.83
Pd  0.6667  0.3333  0.2452  3 Ge 2.64, 9 Pd 2.83-2.84
Pd  0.6667  0.3333  0.8788  12 Pd 2.78-2.83

# LuAlCuMo

Crystalline LuAlCuMo at its relaxed geometry (PBE, OQMD).

Lattice parameters (Å, degrees): 6.4925 6.4925 6.4925 90.00 90.00 90.00
Last column: nearest neighbours and their distance in Å.
Sites, in units of the cell vectors:
Lu  0.0000  0.0000  0.0000  4 Mo 2.81, 4 Cu 2.81
Lu  0.0000  0.5000  0.5000  4 Mo 2.81, 4 Cu 2.81
Lu  0.5000  0.0000  0.5000  4 Mo 2.81, 4 Cu 2.81
Lu  0.5000  0.5000  0.0000  4 Mo 2.81, 4 Cu 2.81
Al  0.0000  0.0000  0.5000  4 Cu 2.81, 4 Mo 2.81
Al  0.0000  0.5000  0.0000  4 Cu 2.81, 4 Mo 2.81
Al  0.5000  0.0000  0.0000  4 Cu 2.81, 4 Mo 2.81
Al  0.5000  0.5000  0.5000  4 Cu 2.81, 4 Mo 2.81
Cu  0.2500  0.2500  0.7500  4 Lu 2.81, 4 Al 2.81
Cu  0.2500  0.7500  0.2500  4 Lu 2.81, 4 Al 2.81
Cu  0.7500  0.2500  0.2500  4 Lu 2.81, 4 Al 2.81
Cu  0.7500  0.7500  0.7500  4 Lu 2.81, 4 Al 2.81
Mo  0.2500  0.2500  0.2500  4 Al 2.81, 4 Lu 2.81
Mo  0.2500  0.7500  0.7500  4 Al 2.81, 4 Lu 2.81
Mo  0.7500  0.2500  0.7500  4 Al 2.81, 4 Lu 2.81
Mo  0.7500  0.7500  0.2500  4 Al 2.81, 4 Lu 2.81

# Ta16Al13

Crystalline Ta16Al13 at its relaxed geometry (PBE, OQMD).

Lattice parameters (Å, degrees): 8.7572 8.7572 8.7572 109.47 109.47 109.47
Last column: nearest neighbours and their distance in Å.
Sites, in units of the cell vectors:
Ta  0.0000  0.0000  0.6461  4 Al 2.83-3.10, 6 Ta 3.05
Ta  0.0000  0.1889  0.3750  3 Ta 2.66-2.70, 5 Al 2.77-2.93
Ta  0.0000  0.3750  0.1889  3 Ta 2.66-2.70, 5 Al 2.77-2.93
Ta  0.0000  0.6461  0.0000  4 Al 2.83-3.10, 6 Ta 3.05
Ta  0.1862  0.8111  0.8111  3 Ta 2.66-2.70, 5 Al 2.77-2.93
Ta  0.1889  0.0000  0.3750  3 Ta 2.66-2.70, 5 Al 2.77-2.93
Ta  0.1889  0.3750  0.0000  3 Ta 2.66-2.70, 5 Al 2.77-2.93
Ta  0.3539  0.3539  0.3539  4 Al 2.83-3.10, 6 Ta 3.05
Ta  0.3750  0.0000  0.1889  3 Ta 2.66-2.70, 5 Al 2.77-2.93
Ta  0.3750  0.1889  0.0000  3 Ta 2.66-2.70, 5 Al 2.77-2.93
Ta  0.6250  0.6250  0.8138  3 Ta 2.66-2.70, 5 Al 2.77-2.93
Ta  0.6250  0.8138  0.6250  3 Ta 2.66-2.70, 5 Al 2.77-2.93
Ta  0.6461  0.0000  0.0000  4 Al 2.83-3.10, 6 Ta 3.05
Ta  0.8111  0.1862  0.8111  3 Ta 2.66-2.70, 5 Al 2.77-2.93
Ta  0.8111  0.8111  0.1862  3 Ta 2.66-2.70, 5 Al 2.77-2.93
Ta  0.8138  0.6250  0.6250  3 Ta 2.66-2.70, 5 Al 2.77-2.93
Al  0.0000  0.0000  0.0000  16 Ta 3.10-3.15
Al  0.0000  0.4104  0.6863  6 Ta 2.77-2.93, 6 Al 2.96-3.08
Al  0.0000  0.6863  0.4104  6 Ta 2.77-2.93, 6 Al 2.96-3.08
Al  0.2760  0.5896  0.5896  6 Ta 2.77-2.93, 6 Al 2.96-3.08
Al  0.3137  0.3137  0.7240  6 Ta 2.77-2.93, 6 Al 2.96-3.08
Al  0.3137  0.7240  0.3137  6 Ta 2.77-2.93, 6 Al 2.96-3.08
Al  0.4104  0.0000  0.6863  6 Ta 2.77-2.93, 6 Al 2.96-3.08
Al  0.4104  0.6863  0.0000  6 Ta 2.77-2.93, 6 Al 2.96-3.08
Al  0.5896  0.2760  0.5896  6 Ta 2.77-2.93, 6 Al 2.96-3.08
Al  0.5896  0.5896  0.2760  6 Ta 2.77-2.93, 6 Al 2.96-3.08
Al  0.6863  0.0000  0.4104  6 Ta 2.77-2.93, 6 Al 2.96-3.08
Al  0.6863  0.4104  0.0000  6 Ta 2.77-2.93, 6 Al 2.96-3.08
Al  0.7240  0.3137  0.3137  6 Ta 2.77-2.93, 6 Al 2.96-3.08

# ScAsIrAu

Crystalline ScAsIrAu at its relaxed geometry (PBE, OQMD).

Lattice parameters (Å, degrees): 6.4861 6.4861 6.4861 90.00 90.00 90.00
Last column: nearest neighbours and their distance in Å.
Sites, in units of the cell vectors:
Sc  0.0000  0.0000  0.0000  4 As 2.81, 4 Au 2.81
Sc  0.0000  0.5000  0.5000  4 As 2.81, 4 Au 2.81
Sc  0.5000  0.0000  0.5000  4 As 2.81, 4 Au 2.81
Sc  0.5000  0.5000  0.0000  4 As 2.81, 4 Au 2.81
As  0.2500  0.2500  0.2500  4 Ir 2.81, 4 Sc 2.81
As  0.2500  0.7500  0.7500  4 Ir 2.81, 4 Sc 2.81
As  0.7500  0.2500  0.7500  4 Ir 2.81, 4 Sc 2.81
As  0.7500  0.7500  0.2500  4 Ir 2.81, 4 Sc 2.81
Ir  0.0000  0.0000  0.5000  4 Au 2.81, 4 As 2.81
Ir  0.0000  0.5000  0.0000  4 Au 2.81, 4 As 2.81
Ir  0.5000  0.0000  0.0000  4 Au 2.81, 4 As 2.81
Ir  0.5000  0.5000  0.5000  4 Au 2.81, 4 As 2.81
Au  0.2500  0.2500  0.7500  4 Sc 2.81, 4 Ir 2.81
Au  0.2500  0.7500  0.2500  4 Sc 2.81, 4 Ir 2.81
Au  0.7500  0.2500  0.2500  4 Sc 2.81, 4 Ir 2.81
Au  0.7500  0.7500  0.7500  4 Sc 2.81, 4 Ir 2.81

# ZrReSi2

Crystalline ZrReSi2 at its relaxed geometry (PBE, OQMD).

Lattice parameters (Å, degrees): 6.3328 6.3328 6.3328 90.00 90.00 90.00
Last column: nearest neighbours and their distance in Å.
Sites, in units of the cell vectors:
Zr  0.0000  0.0000  0.0000  4 Re 2.74, 4 Si 2.74
Zr  0.0000  0.5000  0.5000  4 Re 2.74, 4 Si 2.74
Zr  0.5000  0.0000  0.5000  4 Re 2.74, 4 Si 2.74
Zr  0.5000  0.5000  0.0000  4 Re 2.74, 4 Si 2.74
Re  0.2500  0.2500  0.7500  4 Zr 2.74, 4 Si 2.74
Re  0.2500  0.7500  0.2500  4 Zr 2.74, 4 Si 2.74
Re  0.7500  0.2500  0.2500  4 Zr 2.74, 4 Si 2.74
Re  0.7500  0.7500  0.7500  4 Si 2.74, 4 Zr 2.74
Si  0.0000  0.0000  0.5000  4 Re 2.74, 4 Si 2.74
Si  0.0000  0.5000  0.0000  4 Re 2.74, 4 Si 2.74
Si  0.2500  0.2500  0.2500  4 Zr 2.74, 4 Si 2.74
Si  0.2500  0.7500  0.7500  4 Zr 2.74, 4 Si 2.74
Si  0.5000  0.0000  0.0000  4 Re 2.74, 4 Si 2.74
Si  0.5000  0.5000  0.5000  4 Re 2.74, 4 Si 2.74
Si  0.7500  0.2500  0.7500  4 Zr 2.74, 4 Si 2.74
Si  0.7500  0.7500  0.2500  4 Zr 2.74, 4 Si 2.74

# HoInHgTe3

Crystalline HoInHgTe3 at its relaxed geometry (PBE, OQMD).

Lattice parameters (Å, degrees): 8.6087 4.4245 11.0365 90.00 107.23 90.00
Last column: nearest neighbours and their distance in Å.
Sites, in units of the cell vectors:
Ho  0.1913  0.2500  0.1450  6 Te 3.04-3.23
Ho  0.8087  0.7500  0.8550  6 Te 3.04-3.23
In  0.2341  0.7500  0.7131  6 Te 3.33-3.69
In  0.7659  0.2500  0.2869  6 Te 3.33-3.69
Hg  0.4156  0.7500  0.3831  4 Te 2.82-3.04
Hg  0.5844  0.2500  0.6169  4 Te 2.82-3.04
Te  0.0593  0.2500  0.8571  3 Ho 3.04-3.09, 2 In 3.33
Te  0.2351  0.2500  0.4460  3 Hg 2.90-3.04, 1 Ho 3.23
Te  0.4407  0.7500  0.1342  1 Hg 2.82, 2 Ho 3.11
Te  0.5593  0.2500  0.8658  1 Hg 2.82, 2 Ho 3.11
Te  0.7649  0.7500  0.5540  3 Hg 2.90-3.04, 1 Ho 3.23
Te  0.9407  0.7500  0.1429  3 Ho 3.04-3.09, 2 In 3.33

# Ga2SiHg

Crystalline Ga2SiHg at its relaxed geometry (PBE, OQMD).

Lattice parameters (Å, degrees): 6.8288 6.8288 6.8288 90.00 90.00 90.00
Last column: nearest neighbours and their distance in Å.
Sites, in units of the cell vectors:
Ga  0.0000  0.0000  0.0000  4 Hg 2.96, 4 Ga 2.96
Ga  0.0000  0.5000  0.5000  4 Hg 2.96, 4 Ga 2.96
Ga  0.2500  0.2500  0.2500  4 Si 2.96, 4 Ga 2.96
Ga  0.2500  0.7500  0.7500  4 Si 2.96, 4 Ga 2.96
Ga  0.5000  0.0000  0.5000  4 Hg 2.96, 4 Ga 2.96
Ga  0.5000  0.5000  0.0000  4 Hg 2.96, 4 Ga 2.96
Ga  0.7500  0.2500  0.7500  4 Si 2.96, 4 Ga 2.96
Ga  0.7500  0.7500  0.2500  4 Si 2.96, 4 Ga 2.96
Si  0.0000  0.0000  0.5000  4 Hg 2.96, 4 Ga 2.96
Si  0.0000  0.5000  0.0000  4 Hg 2.96, 4 Ga 2.96
Si  0.5000  0.0000  0.0000  4 Hg 2.96, 4 Ga 2.96
Si  0.5000  0.5000  0.5000  4 Hg 2.96, 4 Ga 2.96
Hg  0.2500  0.2500  0.7500  4 Si 2.96, 4 Ga 2.96
Hg  0.2500  0.7500  0.2500  4 Si 2.96, 4 Ga 2.96
Hg  0.7500  0.2500  0.2500  4 Si 2.96, 4 Ga 2.96
Hg  0.7500  0.7500  0.7500  4 Si 2.96, 4 Ga 2.96

# CdCuBiOs

Crystalline CdCuBiOs at its relaxed geometry (PBE, OQMD).

Lattice parameters (Å, degrees): 6.6648 6.6648 6.6648 90.00 90.00 90.00
Last column: nearest neighbours and their distance in Å.
Sites, in units of the cell vectors:
Cd  0.0000  0.0000  0.0000  4 Os 2.89, 4 Cu 2.89
Cd  0.0000  0.5000  0.5000  4 Os 2.89, 4 Cu 2.89
Cd  0.5000  0.0000  0.5000  4 Os 2.89, 4 Cu 2.89
Cd  0.5000  0.5000  0.0000  4 Os 2.89, 4 Cu 2.89
Cu  0.2500  0.2500  0.7500  4 Cd 2.89, 4 Bi 2.89
Cu  0.2500  0.7500  0.2500  4 Cd 2.89, 4 Bi 2.89
Cu  0.7500  0.2500  0.2500  4 Cd 2.89, 4 Bi 2.89
Cu  0.7500  0.7500  0.7500  4 Cd 2.89, 4 Bi 2.89
Bi  0.0000  0.0000  0.5000  4 Os 2.89, 4 Cu 2.89
Bi  0.0000  0.5000  0.0000  4 Os 2.89, 4 Cu 2.89
Bi  0.5000  0.0000  0.0000  4 Os 2.89, 4 Cu 2.89
Bi  0.5000  0.5000  0.5000  4 Os 2.89, 4 Cu 2.89
Os  0.2500  0.2500  0.2500  4 Cd 2.89, 4 Bi 2.89
Os  0.2500  0.7500  0.7500  4 Cd 2.89, 4 Bi 2.89
Os  0.7500  0.2500  0.7500  4 Cd 2.89, 4 Bi 2.89
Os  0.7500  0.7500  0.2500  4 Cd 2.89, 4 Bi 2.89

# Hf3Zr3Sb2Pd

Crystalline Hf3Zr3Sb2Pd at its relaxed geometry (PBE, OQMD).

Lattice parameters (Å, degrees): 7.8222 7.8222 3.6733 90.00 90.00 120.00
Last column: nearest neighbours and their distance in Å.
Sites, in units of the cell vectors:
Hf  0.0000  0.2497  0.0000  2 Pd 2.68, 2 Sb 2.99
Hf  0.2497  0.0000  0.0000  2 Pd 2.68, 2 Sb 2.99
Hf  0.7503  0.7503  0.0000  2 Pd 2.68, 2 Sb 2.99
Zr  0.0000  0.5950  0.5000  4 Sb 3.00, 1 Pd 3.17, 6 Hf 3.27-3.32
Zr  0.4050  0.4050  0.5000  4 Sb 3.00, 1 Pd 3.17, 6 Hf 3.27-3.32
Zr  0.5950  0.0000  0.5000  4 Sb 3.00, 1 Pd 3.17, 6 Hf 3.27-3.32
Sb  0.3333  0.6667  0.0000  3 Hf 2.99, 6 Zr 3.00
Sb  0.6667  0.3333  0.0000  3 Hf 2.99, 6 Zr 3.00
Pd  0.0000  0.0000  0.5000  6 Hf 2.68

# POs

Crystalline POs at its relaxed geometry (PBE, OQMD).

Lattice parameters (Å, degrees): 2.9836 2.9836 3.5499 90.00 90.00 120.00
Last column: nearest neighbours and their distance in Å.
Sites, in units of the cell vectors:
P  0.0000  0.0000  0.0000  6 Os 2.47
Os  0.3333  0.6667  0.5000  6 P 2.47

# Na2HgO2

Crystalline Na2HgO2 at its relaxed geometry (PBE, OQMD).

Lattice parameters (Å, degrees): 6.0024 6.0024 9.2553 90.00 90.00 90.00
Last column: nearest neighbours and their distance in Å.
Sites, in units of the cell vectors:
Na  0.0090  0.2170  0.1247  2 O 2.15
Na  0.2170  0.0090  0.8753  2 O 2.15
Na  0.2830  0.5090  0.8747  2 O 2.15
Na  0.4910  0.7170  0.6253  2 O 2.15
Na  0.5090  0.2830  0.1253  2 O 2.15
Na  0.7170  0.4910  0.3747  2 O 2.15
Na  0.7830  0.9910  0.3753  2 O 2.15
Na  0.9910  0.7830  0.6247  2 O 2.15
Hg  0.2378  0.7622  0.2500  2 O 2.06
Hg  0.2622  0.2622  0.5000  2 O 2.06
Hg  0.7378  0.7378  0.0000  2 O 2.06
Hg  0.7622  0.2378  0.7500  2 O 2.06
O  0.1749  0.7484  0.0319  1 Hg 2.06, 2 Na 2.15
O  0.2484  0.3251  0.2819  1 Hg 2.06, 2 Na 2.15
O  0.2516  0.8251  0.4681  1 Hg 2.06, 2 Na 2.15
O  0.3251  0.2484  0.7181  1 Hg 2.06, 2 Na 2.15
O  0.6749  0.7516  0.2181  1 Hg 2.06, 2 Na 2.15
O  0.7484  0.1749  0.9681  1 Hg 2.06, 2 Na 2.15
O  0.7516  0.6749  0.7819  1 Hg 2.06, 2 Na 2.15
O  0.8251  0.2516  0.5319  1 Hg 2.06, 2 Na 2.15

# Zn2Sn2Ge

Crystalline Zn2Sn2Ge at its relaxed geometry (PBE, OQMD).

Lattice parameters (Å, degrees): 4.3919 4.3919 12.0255 90.00 90.00 90.00
Last column: nearest neighbours and their distance in Å.
Sites, in units of the cell vectors:
Zn  0.0000  0.0000  0.0981  1 Zn 2.36
Zn  0.0000  0.0000  0.9019  1 Zn 2.36
Zn  0.5000  0.5000  0.4019  1 Zn 2.36
Zn  0.5000  0.5000  0.5981  1 Zn 2.36
Sn  0.0000  0.5000  0.2500  4 Zn 2.86, 4 Sn 3.11
Sn  0.0000  0.5000  0.7500  4 Zn 2.86, 4 Sn 3.11
Sn  0.5000  0.0000  0.2500  4 Zn 2.86, 4 Sn 3.11
Sn  0.5000  0.0000  0.7500  4 Zn 2.86, 4 Sn 3.11
Ge  0.0000  0.0000  0.5000  8 Zn 3.32
Ge  0.5000  0.5000  0.0000  8 Zn 3.32

VASP energy, respectively: -5.094; -5.581; -8.196; -6.169; -7.902; -3.477; -2.625; -4.313; -8.257; -8.140; -3.306; -2.723 eV/atom.